# 1
! ZrInCuTe3 | the Open Quantum Materials Database | PBE | optimized geometry; values from VASP
&SYSTEM
  ibrav = 0, nat = 24, ntyp = 4
/
ATOMIC_SPECIES
Zr 91.22 Zr.upf
Te 127.60 Te.upf
In 114.82 In.upf
Cu 63.55 Cu.upf
CELL_PARAMETERS angstrom
10.816 0.000 0.000
0.000 4.056 0.000
0.000 0.000 15.144
ATOMIC_POSITIONS angstrom
Zr 5.142 1.014 3.756
Te 2.886 3.042 12.515
Te 4.941 1.014 9.375
In 7.903 1.014 7.470
Te 10.350 1.014 13.341
Te 4.696 3.042 1.676
In 2.494 1.014 0.102
Cu 2.741 1.014 10.854
Te 0.713 1.014 9.248
Te 10.104 3.042 5.896
Cu 8.150 1.014 11.862
In 2.914 3.042 7.674
Te 5.875 3.042 5.769
Te 2.523 1.014 4.943
Zr 5.674 3.042 11.388
In 8.322 3.042 15.042
Cu 8.075 3.042 4.290
Te 0.467 3.042 1.803
Zr 0.266 3.042 11.328
Zr 10.551 1.014 3.816
Cu 2.667 3.042 3.282
Te 8.294 3.042 10.201
Te 6.121 1.014 13.468
Te 7.931 1.014 2.629
! space group = No. 62
! uncorrected energy = -4.597 eV/atom

***

# 2
! ScTc2Ir | the Open Quantum Materials Database | PBE | optimized geometry; values from VASP
&SYSTEM
  ibrav = 0, nat = 4, ntyp = 3
/
ATOMIC_SPECIES
Ir 192.22 Ir.upf
Tc 98.00 Tc.upf
Sc 44.96 Sc.upf
CELL_PARAMETERS angstrom
0.893 -2.084 3.830
1.178 2.351 3.591
-2.802 0.366 3.439
ATOMIC_POSITIONS angstrom
Ir -0.183 0.158 2.715
Tc -0.365 0.317 5.430
Sc 0.000 0.000 0.000
Tc -0.548 0.475 8.145
! space group = No. 216
! DFT formation energy = -160 meV/atom

***

# 3
! CsNd2CuSe4 | the Open Quantum Materials Database | PBE | optimized geometry; values from VASP
&SYSTEM
  ibrav = 0, nat = 16, ntyp = 4
/
ATOMIC_SPECIES
Se 78.96 Se.upf
Nd 144.24 Nd.upf
Cu 63.55 Cu.upf
Cs 132.91 Cs.upf
CELL_PARAMETERS angstrom
1.040 6.414 -4.273
-3.099 -7.108 0.590
-12.283 5.834 5.768
ATOMIC_POSITIONS angstrom
Se -13.023 1.342 4.545
Nd -3.300 -4.939 0.293
Se -5.850 -4.603 1.655
Se -1.030 -0.347 -1.842
Cu -10.918 1.821 3.278
Se -9.604 -0.282 2.939
Nd -7.932 -2.739 2.468
Nd -6.411 7.879 -0.384
Cs -9.800 5.472 1.965
Nd -11.043 10.079 1.791
Se -7.171 2.570 1.042
Se -4.739 5.422 -0.855
Se -8.493 9.743 0.429
Se -1.320 3.798 -2.461
Cu -3.425 3.319 -1.194
Cs -4.543 -0.333 0.119
! space group = No. 63
! uncorrected energy = -5.013 eV/atom

***

# 4
! NdGa5NiPd | the Open Quantum Materials Database | PBE | optimized geometry; values from VASP
&SYSTEM
  ibrav = 0, nat = 8, ntyp = 4
/
ATOMIC_SPECIES
Ga 69.72 Ga.upf
Nd 144.24 Nd.upf
Pd 106.42 Pd.upf
Ni 58.69 Ni.upf
CELL_PARAMETERS angstrom
5.109 -0.051 3.859
-2.683 2.146 5.403
0.064 -4.928 -4.087
ATOMIC_POSITIONS angstrom
Ga 0.688 -2.645 1.982
Ga -0.124 -3.195 -0.795
Nd 2.408 2.080 9.194
Ga 2.534 0.444 5.985
Pd -0.687 -0.853 3.035
Ni 3.174 -1.982 2.128
Ga 1.888 -0.264 3.200
Ga 2.601 -2.477 -0.060
! space group = No. 44
! uncorrected energy = -4.369 eV/atom